Density functional theory data (PBE) for a relaxed structure of NaBe2CuIr.

Output
- uncorrected energy (eV per atom) = -4.025
- crystal system = tetragonal
- calculated volume (Å³ per atom) = 17.7
- DOS at the Fermi energy (states/eV per cell) = 1.218

```
data_NaBe2CuIr
_chemical_formula_sum 'Na1 Be2 Cu1 Ir1'
_space_group_name_H-M_alt 'P 4/m m m'
_space_group_IT_number 123
_space_group_name_Hall '-P 4 2'
_cell_length_a 4.285
_cell_length_b 4.285
_cell_length_c 4.827
_cell_angle_alpha 90.00
_cell_angle_beta 90.00
_cell_angle_gamma 90.00
loop_
_atom_site_label
_atom_site_fract_x
_atom_site_fract_y
_atom_site_fract_z
Na1 0.000 0.000 0.000
Be1 0.000 0.500 0.500
Cu1 0.500 0.500 0.000
Ir1 0.500 0.500 0.500
```


Density functional theory data (PBE) for a relaxed structure of Ta2InAs.

Output
- excess energy over the best structure of this formula in the dataset (meV per atom) = 135
- crystal system = orthorhombic
- calculated volume (Å³ per atom) = 18.8
- DOS at the Fermi energy (states/eV per cell) = 4.791

```
data_Ta2InAs
_chemical_formula_sum 'Ta4 In2 As2'
_space_group_name_H-M_alt 'C m m m'
_space_group_IT_number 65
_space_group_name_Hall '-C 2 2'
_cell_length_a 3.438
_cell_length_b 5.044
_cell_length_c 8.657
_cell_angle_alpha 90.00
_cell_angle_beta 90.00
_cell_angle_gamma 90.00
loop_
_atom_site_label
_atom_site_fract_x
_atom_site_fract_y
_atom_site_fract_z
Ta1 0.000 0.000 0.224
In1 0.000 0.500 0.500
As1 0.000 0.500 0.000
```


Density functional theory data (PBE) for a relaxed structure of DyErPu2.

Output
- excess energy over the best structure of this formula in the dataset (meV per atom) = 2
- crystal system = tetragonal
- calculated volume (Å³ per atom) = 28.9
- DOS at the Fermi energy (states/eV per cell) = 14.350

```
data_DyErPu2
_chemical_formula_sum 'Dy1 Er1 Pu2'
_space_group_name_H-M_alt 'P 4/m m m'
_space_group_IT_number 123
_space_group_name_Hall '-P 4 2'
_cell_length_a 4.799
_cell_length_b 4.799
_cell_length_c 5.021
_cell_angle_alpha 90.00
_cell_angle_beta 90.00
_cell_angle_gamma 90.00
loop_
_atom_site_label
_atom_site_fract_x
_atom_site_fract_y
_atom_site_fract_z
Dy1 0.000 0.000 0.000
Er1 0.500 0.500 0.000
Pu1 0.000 0.500 0.500
```


Density functional theory data (PBE) for a relaxed structure of Dy2Y5Er4.

Output
- excess energy over the best structure of this formula in the dataset (meV per atom) = 0
- crystal system = monoclinic
- calculated volume (Å³ per atom) = 32.0
- DOS at the Fermi energy (states/eV per cell) = 39.497

```
data_Dy2Y5Er4
_chemical_formula_sum 'Dy4 Y10 Er8'
_space_group_name_H-M_alt 'C 1 2/m 1'
_space_group_IT_number 12
_cell_length_a 16.251
_cell_length_b 5.637
_cell_length_c 9.333
_cell_angle_alpha 90.00
_cell_angle_beta 124.60
_cell_angle_gamma 90.00
loop_
_space_group_symop_operation_xyz
'x,y,z'
'-x,-y,-z'
'-x,y,-z'
'x,-y,z'
'x+1/2,y+1/2,z'
'-x+1/2,-y+1/2,-z'
'-x+1/2,y+1/2,-z'
'x+1/2,-y+1/2,z'
loop_
_atom_site_label
_atom_site_fract_x
_atom_site_fract_y
_atom_site_fract_z
Dy1 0.087 0.000 0.248
Y1 0.000 0.000 0.500
Y2 0.159 0.500 0.562
Y3 0.207 0.500 0.244
Er1 0.052 0.500 0.798
Er2 0.185 0.000 0.986
```


Density functional theory data (PBE) for a relaxed structure of TbNi3C.

Output
- uncorrected energy (eV per atom) = -6.262
- crystal system = hexagonal
- calculated volume (Å³ per atom) = 12.9
- DOS at the Fermi energy (states/eV per cell) = 6.851

```
data_TbNi3C
_chemical_formula_sum 'Tb2 Ni6 C2'
_space_group_name_H-M_alt 'P 63/m m c'
_space_group_IT_number 194
_space_group_name_Hall '-P 6c 2c'
_cell_length_a 5.5155
_cell_length_b 5.5155
_cell_length_c 4.9038
_cell_angle_alpha 90.00
_cell_angle_beta 90.00
_cell_angle_gamma 120.00
loop_
_atom_site_label
_atom_site_fract_x
_atom_site_fract_y
_atom_site_fract_z
Tb1 0.3333 0.6667 0.2500
Ni1 0.1611 0.3223 0.7500
C1 0.0000 0.0000 0.0000
```


Density functional theory data (PBE) for a relaxed structure of Dy2OsPd.

Output
- excess energy over the best structure of this formula in the dataset (meV per atom) = 0
- crystal system = tetragonal
- calculated volume (Å³ per atom) = 20.6
- DOS at the Fermi energy (states/eV per cell) = 2.211

```
data_Dy2OsPd
_chemical_formula_sum 'Dy2 Os1 Pd1'
_space_group_name_H-M_alt 'P 4/m m m'
_space_group_IT_number 123
_space_group_name_Hall '-P 4 2'
_cell_length_a 3.432
_cell_length_b 3.432
_cell_length_c 7.004
_cell_angle_alpha 90.00
_cell_angle_beta 90.00
_cell_angle_gamma 90.00
loop_
_atom_site_label
_atom_site_fract_x
_atom_site_fract_y
_atom_site_fract_z
Dy1 0.000 0.000 0.238
Os1 0.500 0.500 0.000
Pd1 0.500 0.500 0.500
```


Density functional theory data (PBE) for a relaxed structure of HgMoS2N.

Output
- energy relative to the elements, uncorrected (meV per atom) = 182
- excess energy over the best structure of this formula in the dataset (meV per atom) = 0
- crystal system = tetragonal
- calculated volume (Å³ per atom) = 18.3
- DOS at the Fermi energy (states/eV per cell) = 2.548

```
data_HgMoS2N
_chemical_formula_sum 'Hg1 Mo1 S2 N1'
_space_group_name_H-M_alt 'P 4/m m m'
_space_group_IT_number 123
_space_group_name_Hall '-P 4 2'
_cell_length_a 4.886
_cell_length_b 4.886
_cell_length_c 3.824
_cell_angle_alpha 90.00
_cell_angle_beta 90.00
_cell_angle_gamma 90.00
loop_
_atom_site_label
_atom_site_fract_x
_atom_site_fract_y
_atom_site_fract_z
Hg1 0.000 0.000 0.000
Mo1 0.500 0.500 0.500
S1 0.000 0.500 0.500
N1 0.500 0.500 0.000
```


Density functional theory data (PBE) for a relaxed structure of Ca2MgAl3Pt4.

Output
- uncorrected energy (eV per atom) = -5.086
- crystal system = tetragonal
- calculated volume (Å³ per atom) = 19.5
- DOS at the Fermi energy (states/eV per cell) = 3.093

```
data_Ca2MgAl3Pt4
_chemical_formula_sum 'Ca2 Mg1 Al3 Pt4'
_space_group_name_H-M_alt 'P -4 m 2'
_space_group_IT_number 115
_cell_length_a 4.334
_cell_length_b 4.334
_cell_length_c 10.357
_cell_angle_alpha 90.00
_cell_angle_beta 90.00
_cell_angle_gamma 90.00
loop_
_space_group_symop_operation_xyz
'x,y,z'
'y,-x,-z'
'-x,-y,z'
'-y,x,-z'
'-x,y,z'
'-y,-x,-z'
'x,-y,z'
'y,x,-z'
loop_
_atom_site_label
_atom_site_fract_x
_atom_site_fract_y
_atom_site_fract_z
Ca1 0.000 0.500 0.240
Mg1 0.000 0.000 0.500
Al1 0.000 0.500 0.878
Al2 0.500 0.500 0.500
Pt1 0.000 0.000 0.000
Pt2 0.000 0.500 0.640
Pt3 0.500 0.500 0.000
```


Density functional theory data (PBE) for a relaxed structure of PmSm5Pb4.

Output
- uncorrected energy (eV per atom) = -4.694
- crystal system = monoclinic
- calculated volume (Å³ per atom) = 33.4
- DOS at the Fermi energy (states/eV per cell) = 14.567

```
data_PmSm5Pb4
_chemical_formula_sum 'Pm2 Sm10 Pb8'
_space_group_name_H-M_alt 'C 1 2/m 1'
_space_group_IT_number 12
_cell_length_a 16.600
_cell_length_b 5.491
_cell_length_c 7.336
_cell_angle_alpha 90.00
_cell_angle_beta 90.13
_cell_angle_gamma 90.00
loop_
_space_group_symop_operation_xyz
'x,y,z'
'-x,-y,-z'
'-x,y,-z'
'x,-y,z'
'x+1/2,y+1/2,z'
'-x+1/2,-y+1/2,-z'
'-x+1/2,y+1/2,-z'
'x+1/2,-y+1/2,z'
loop_
_atom_site_label
_atom_site_fract_x
_atom_site_fract_y
_atom_site_fract_z
Pm1 0.000 0.000 0.000
Sm1 0.000 0.000 0.500
Sm2 0.166 0.500 0.508
Sm3 0.166 0.500 0.992
Pb1 0.009 0.500 0.251
Pb2 0.177 0.000 0.750
```


Density functional theory data (PBE) for a relaxed structure of Pm2Pr4Ho5.

Output
- excess energy over the best structure of this formula in the dataset (meV per atom) = 7
- crystal system = monoclinic
- calculated volume (Å³ per atom) = 34.1
- DOS at the Fermi energy (states/eV per cell) = 34.765

```
data_Pm2Pr4Ho5
_chemical_formula_sum 'Pm4 Pr8 Ho10'
_space_group_name_H-M_alt 'C 1 2/m 1'
_space_group_IT_number 12
_cell_length_a 11.223
_cell_length_b 7.508
_cell_length_c 9.298
_cell_angle_alpha 90.00
_cell_angle_beta 106.78
_cell_angle_gamma 90.00
loop_
_space_group_symop_operation_xyz
'x,y,z'
'-x,-y,-z'
'-x,y,-z'
'x,-y,z'
'x+1/2,y+1/2,z'
'-x+1/2,-y+1/2,-z'
'-x+1/2,y+1/2,-z'
'x+1/2,-y+1/2,z'
loop_
_atom_site_label
_atom_site_fract_x
_atom_site_fract_y
_atom_site_fract_z
Pm1 0.142 0.000 0.127
Pr1 0.175 0.500 0.123
Pr2 0.186 0.500 0.498
Ho1 0.000 0.000 0.500
Ho2 0.069 0.281 0.778
```


Density functional theory data (PBE) for a relaxed structure of Hf2BeBrCl.

Output
- energy relative to the elements, uncorrected (meV per atom) = 1033
- crystal system = tetragonal
- calculated volume (Å³ per atom) = 20.8
- DOS at the Fermi energy (states/eV per cell) = 4.408

```
data_Hf2BeBrCl
_chemical_formula_sum 'Hf2 Be1 Br1 Cl1'
_space_group_name_H-M_alt 'P 4/m m m'
_space_group_IT_number 123
_space_group_name_Hall '-P 4 2'
_cell_length_a 5.061
_cell_length_b 5.061
_cell_length_c 4.068
_cell_angle_alpha 90.00
_cell_angle_beta 90.00
_cell_angle_gamma 90.00
loop_
_atom_site_label
_atom_site_fract_x
_atom_site_fract_y
_atom_site_fract_z
Hf1 0.000 0.500 0.000
Be1 0.000 0.000 0.500
Br1 0.000 0.000 0.000
Cl1 0.500 0.500 0.500
```


Density functional theory data (PBE) for a relaxed structure of Pa3Al2Zn7.

Output
- uncorrected energy (eV per atom) = -3.802
- crystal system = trigonal
- calculated volume (Å³ per atom) = 18.3
- DOS at the Fermi energy (states/eV per cell) = 50.130

```
data_Pa3Al2Zn7
_chemical_formula_sum 'Pa9 Al6 Zn21'
_space_group_name_H-M_alt 'R -3 m'
_space_group_IT_number 166
_space_group_name_Hall '-R 3 2"'
_cell_length_a 5.4184
_cell_length_b 5.4184
_cell_length_c 25.9336
_cell_angle_alpha 90.00
_cell_angle_beta 90.00
_cell_angle_gamma 120.00
loop_
_atom_site_label
_atom_site_fract_x
_atom_site_fract_y
_atom_site_fract_z
Pa1 0.0000 0.0000 0.0000
Pa2 0.0000 0.0000 0.1457
Al1 0.0000 0.0000 0.3350
Zn1 0.0000 0.0000 0.5000
Zn2 0.0051 0.5026 0.9179
```